First-principles (meta-GGA SCAN) data for a crystal of MnIrRu2 relaxed with PBEsol, as listed in Alexandria via LeMat-Bulk.

```
4
Lattice="-1.393 2.135 4.478 1.393 -2.135 4.478 1.393 2.135 -4.478" Properties=species:S:1:pos:R:3 pbc="T T T"
Mn 0.000 0.000 0.000
Ir 0.000 0.000 4.478
Ru 1.393 0.000 1.980
Ru 0.000 2.135 2.498
```

Calculated values
- formation energy (eV/f.u.) = 0.3



First-principles (meta-GGA SCAN) data for a crystal of Cu13Se8 relaxed with PBEsol, as listed in Alexandria via LeMat-Bulk.

```
21
Lattice="0.000 5.606 5.606 5.606 0.000 5.606 5.606 5.606 0.000" Properties=species:S:1:pos:R:3 pbc="T T T"
Cu 0.000 0.000 0.000
Cu 2.803 2.803 0.139
Cu 2.803 0.139 2.803
Cu 5.466 2.803 2.803
Cu 5.606 5.606 2.724
Cu 5.606 2.724 5.606
Cu 8.488 5.606 5.606
Cu 0.139 2.803 2.803
Cu 2.803 5.466 2.803
Cu 2.803 2.803 5.466
Cu 2.724 5.606 5.606
Cu 5.606 8.488 5.606
Cu 5.606 5.606 8.488
Se 4.269 4.269 4.269
Se 6.942 6.942 4.269
Se 6.942 4.269 6.942
Se 9.736 7.081 7.081
Se 4.269 6.942 6.942
Se 7.081 9.736 7.081
Se 7.081 7.081 9.736
Se 9.736 9.736 9.736
```

Calculated values
- ΔE_f (raw) (kJ/mol of atoms) = -6.23



First-principles (meta-GGA SCAN) data for a crystal of Ta2MnCr relaxed with PBEsol, as listed in Alexandria via LeMat-Bulk.

```
4
Lattice="3.042 0.000 0.000 0.000 3.042 0.000 0.000 0.000 6.096" Properties=species:S:1:pos:R:3 pbc="T T T"
Ta 0.000 0.000 1.516
Ta 0.000 0.000 4.580
Mn 1.521 1.521 0.000
Cr 1.521 1.521 3.048
```

Calculated values
- formation energy (eV/f.u.) = -0.7



First-principles (meta-GGA SCAN) data for a crystal of AlPSe2Br relaxed with PBEsol, as listed in Alexandria via LeMat-Bulk.

```
5
Lattice="4.813 0.000 0.000 0.000 4.813 0.000 0.000 0.000 5.044" Properties=species:S:1:pos:R:3 pbc="T T T"
Al 0.000 0.000 0.000
P 2.407 2.407 2.522
Se 0.000 2.407 2.522
Se 2.407 0.000 2.522
Br 2.407 2.407 0.000
```

Calculated values
- ΔE_f (raw) (kJ/mol of atoms) = 33.78
- offset from the most stable computed form (meV per atom) = 0